Entry 1:
! SrCa2Tl, single point on PBEsol structure, DFT meta-GGA SCAN; values from VASP
&SYSTEM
  ibrav = 0, nat = 4, ntyp = 3
/
ATOMIC_SPECIES
Sr 87.62 Sr.upf
Tl 204.38 Tl.upf
Ca 40.08 Ca.upf
ATOMIC_POSITIONS angstrom
Sr 2.850 2.850 0.000
Tl 0.000 0.000 0.000
Ca 2.850 0.000 2.032
Ca 0.000 2.850 2.032
CELL_PARAMETERS angstrom
5.701 0.000 0.000
0.000 5.701 0.000
-2.850 -2.850 4.064
! **Energy relative to the lowest polymorph listed for this composition**: 0.48 eV per formula unit
! **Total energy**: -28.6996 eV per atom
! **Space-group type**: I4/mmm (139)
! **ΔE_f**: -210 meV per atom

***

Entry 2:
! SrCaW2, single point on PBEsol structure, DFT meta-GGA SCAN; values from VASP
&SYSTEM
  ibrav = 0, nat = 4, ntyp = 3
/
ATOMIC_SPECIES
Sr 87.62 Sr.upf
Ca 40.08 Ca.upf
W 183.84 W.upf
ATOMIC_POSITIONS angstrom
Sr 1.690 1.690 1.733
Ca 0.000 0.000 5.326
W 0.000 0.000 8.576
W 1.690 1.690 7.557
CELL_PARAMETERS angstrom
3.381 0.000 0.000
0.000 3.381 0.000
0.000 0.000 9.277
! **Energy relative to the lowest polymorph listed for this composition**: 0.00 eV per formula unit
! **Total energy**: -42.2063 eV per atom
! **Space-group type**: P4mm (99)
! **ΔE_f**: 622 meV per atom

***

Entry 3:
! SrCaW2, single point on PBEsol structure, DFT meta-GGA SCAN; values from VASP
&SYSTEM
  ibrav = 0, nat = 4, ntyp = 3
/
ATOMIC_SPECIES
Sr 87.62 Sr.upf
Ca 40.08 Ca.upf
W 183.84 W.upf
ATOMIC_POSITIONS angstrom
Sr -3.079 2.422 0.193
Ca -0.719 4.905 -0.578
W -0.067 0.454 -0.054
W -0.604 1.848 -1.940
CELL_PARAMETERS angstrom
-0.595 -0.487 -3.387
-5.351 -0.662 1.036
2.225 5.676 0.574
! **Energy relative to the lowest polymorph listed for this composition**: 1.11 eV per formula unit
! **Total energy**: -41.9288 eV per atom
! **Space-group type**: Imm2 (44)
! **ΔE_f**: 900 meV per atom

***

Entry 4:
! SrCaW2, single point on PBEsol structure, DFT meta-GGA SCAN; values from VASP
&SYSTEM
  ibrav = 0, nat = 4, ntyp = 3
/
ATOMIC_SPECIES
Sr 87.62 Sr.upf
Ca 40.08 Ca.upf
W 183.84 W.upf
ATOMIC_POSITIONS angstrom
Sr 1.587 1.907 1.483
Ca 1.587 -0.213 4.654
W 1.587 3.566 7.409
W 0.000 1.745 6.564
CELL_PARAMETERS angstrom
3.174 0.000 0.000
-1.587 4.230 0.010
0.000 -0.582 8.036
! **Energy relative to the lowest polymorph listed for this composition**: 0.96 eV per formula unit
! **Total energy**: -41.9663 eV per atom
! **Space-group type**: Cm (8)
! **ΔE_f**: 862 meV per atom

***

Entry 5:
! SrCaW2, single point on PBEsol structure, DFT meta-GGA SCAN; values from VASP
&SYSTEM
  ibrav = 0, nat = 4, ntyp = 3
/
ATOMIC_SPECIES
Sr 87.62 Sr.upf
Ca 40.08 Ca.upf
W 183.84 W.upf
ATOMIC_POSITIONS angstrom
Sr 0.000 2.082 0.000
Ca 1.862 0.000 0.000
W 1.862 2.082 2.677
W 0.000 0.000 2.638
CELL_PARAMETERS angstrom
3.725 0.000 0.000
0.000 4.165 0.000
-1.862 -2.082 5.315
! **Energy relative to the lowest polymorph listed for this composition**: 2.62 eV per formula unit
! **Total energy**: -41.5506 eV per atom
! **Space-group type**: Immm (71)
! **ΔE_f**: 1278 meV per atom

***

Entry 6:
! SrCa2Y, single point on PBEsol structure, DFT meta-GGA SCAN; values from VASP
&SYSTEM
  ibrav = 0, nat = 4, ntyp = 3
/
ATOMIC_SPECIES
Y 88.91 Y.upf
Sr 87.62 Sr.upf
Ca 40.08 Ca.upf
ATOMIC_POSITIONS angstrom
Y 0.000 2.707 2.708
Sr 2.707 2.707 0.000
Ca 0.000 0.000 0.000
Ca 2.707 0.000 2.708
CELL_PARAMETERS angstrom
5.414 0.000 0.000
0.000 5.414 0.000
-2.707 -2.707 5.416
! **Energy relative to the lowest polymorph listed for this composition**: 0.30 eV per formula unit
! **Total energy**: -17.1750 eV per atom
! **Space-group type**: I-4m2 (119)
! **ΔE_f**: 186 meV per atom

***

Entry 7:
! SrCa2Y, single point on PBEsol structure, DFT meta-GGA SCAN; values from VASP
&SYSTEM
  ibrav = 0, nat = 4, ntyp = 3
/
ATOMIC_SPECIES
Y 88.91 Y.upf
Sr 87.62 Sr.upf
Ca 40.08 Ca.upf
ATOMIC_POSITIONS angstrom
Y -3.422 1.893 4.116
Sr -1.837 -1.765 1.227
Ca -2.285 5.272 4.163
Ca -0.886 2.044 1.614
CELL_PARAMETERS angstrom
-3.784 -1.082 -0.706
0.110 -2.448 3.160
-3.171 7.316 5.778
! **Energy relative to the lowest polymorph listed for this composition**: 0.00 eV per formula unit
! **Total energy**: -17.2488 eV per atom
! **Space-group type**: P4/mmm (123)
! **ΔE_f**: 112 meV per atom

***

Entry 8:
! Sr2CaY, single point on PBEsol structure, DFT meta-GGA SCAN; values from VASP
&SYSTEM
  ibrav = 0, nat = 4, ntyp = 3
/
ATOMIC_SPECIES
Y 88.91 Y.upf
Sr 87.62 Sr.upf
Ca 40.08 Ca.upf
ATOMIC_POSITIONS angstrom
Y 1.938 1.938 0.000
Sr 0.000 0.000 8.555
Sr 0.000 0.000 2.651
Ca 1.938 1.938 5.603
CELL_PARAMETERS angstrom
3.877 0.000 0.000
0.000 3.877 0.000
0.000 0.000 11.206
! **Total energy**: -20.3691 eV per atom
! **Space-group type**: P4/mmm (123)
! **ΔE_f**: 145 meV per atom